Record 1
Entry from the Alexandria database: SiHg2W after structural relaxation (PBE-GGA).

total magnetization: 0.5 μB per formula unit
energy: -17.469 eV/cell

a b c (Å): 7.7271 7.7271 4.2399
angles (deg): 105.92 105.92 20.61
Atoms (fractional coordinates):
Si (0.0000, 0.0000, 0.0000)
Hg (0.1800, 0.1800, 0.6766)
Hg (0.8200, 0.8200, 0.3234)
W (0.5000, 0.5000, 0.5000)

***

Record 2
Entry from the Alexandria database: SiHg2W after structural relaxation (PBE-GGA).

total magnetization: 0.0 μB per formula unit
energy: -15.989 eV/cell

a b c (Å): 2.8472 4.8425 5.4437
angles (deg): 90.00 90.00 90.00
Atoms (fractional coordinates):
Si (0.0000, 0.0000, 0.0000)
Hg (0.0000, 0.5000, 0.5000)
Hg (0.5000, 0.0000, 0.5000)
W (0.5000, 0.5000, 0.0000)

***

Record 3
Entry from the Alexandria database: SiHgW2 after structural relaxation (PBE-GGA).

energy above the most stable polymorph in this dataset: 0.285 eV per atom
total magnetization: 0.0 μB per formula unit
energy: -28.819 eV/cell

a b c (Å): 5.2581 5.2581 2.8258
angles (deg): 100.34 100.34 115.27
Atoms (fractional coordinates):
Si (0.0000, 0.0000, 0.0000)
Hg (0.5000, 0.5000, 0.0000)
W (0.0000, 0.5000, 0.5000)
W (0.5000, 0.0000, 0.5000)

***

Record 4
Entry from the Alexandria database: SiHg2W after structural relaxation (PBE-GGA).

total magnetization: 0.0 μB per formula unit
energy: -15.857 eV/cell

a b c (Å): 5.2563 5.2563 3.0056
angles (deg): 90.00 90.00 117.18
Atoms (fractional coordinates):
Si (0.0000, 0.0000, 0.0000)
Hg (0.0000, 0.5000, 0.5000)
Hg (0.5000, 0.0000, 0.5000)
W (0.5000, 0.5000, 0.0000)

***

Record 5
Entry from the Alexandria database: SiHgW2 after structural relaxation (PBE-GGA).

energy above the most stable polymorph in this dataset: 0.105 eV per atom
total magnetization: 0.0 μB per formula unit
energy: -29.541 eV/cell

a b c (Å): 2.8203 2.8203 8.7068
angles (deg): 90.00 90.00 107.30
Atoms (fractional coordinates):
Si (0.0000, 0.0000, 0.0000)
Hg (0.0000, 0.0000, 0.5000)
W (0.5000, 0.5000, 0.2167)
W (0.5000, 0.5000, 0.7833)

***

Record 6
Entry from the Alexandria database: SiHg4W after structural relaxation (PBE-GGA).

total magnetization: 3.2 μB per formula unit
energy: -12.580 eV/cell

a b c (Å): 5.7265 5.7265 5.7265
angles (deg): 60.00 60.00 60.00
Atoms (fractional coordinates):
Si (0.0000, 0.0000, 0.0000)
Hg (0.3751, 0.3751, 0.3751)
Hg (0.3751, 0.3751, 0.8746)
Hg (0.3751, 0.8746, 0.3751)
Hg (0.8746, 0.3751, 0.3751)
W (0.7500, 0.7500, 0.7500)

***

Record 7
Entry from the Alexandria database: SiHgW2 after structural relaxation (PBE-GGA).

energy above the most stable polymorph in this dataset: 0.185 eV per atom
total magnetization: 0.0 μB per formula unit
energy: -29.222 eV/cell

a b c (Å): 5.2553 5.2553 5.2553
angles (deg): 144.01 129.13 63.88
Atoms (fractional coordinates):
Si (0.0000, 0.0000, 0.0000)
Hg (0.7468, 0.2468, 0.5000)
W (0.2206, 0.7206, 0.5000)
W (0.4704, 0.4704, 0.0000)

***

Record 8
Entry from the Alexandria database: SiHgW2 after structural relaxation (PBE-GGA).

energy above the most stable polymorph in this dataset: 0.166 eV per atom
total magnetization: 0.0 μB per formula unit
energy: -29.297 eV/cell

a b c (Å): 4.9144 4.9144 5.2704
angles (deg): 104.47 104.47 32.98
Atoms (fractional coordinates):
Si (0.0000, 0.0000, 0.0000)
Hg (0.5000, 0.5000, 0.5000)
W (0.2680, 0.2680, 0.7677)
W (0.7320, 0.7320, 0.2323)

***

Record 9
Entry from the Alexandria database: SiHg2W after structural relaxation (PBE-GGA).

total magnetization: 0.0 μB per formula unit
energy: -15.711 eV/cell

a b c (Å): 5.2471 5.2471 5.2471
angles (deg): 134.42 134.42 66.44
Atoms (fractional coordinates):
Si (0.0000, 0.0000, 0.0000)
Hg (0.5000, 0.5000, 0.0000)
Hg (0.7500, 0.2500, 0.5000)
W (0.2500, 0.7500, 0.5000)

***

Record 10
Entry from the Alexandria database: Si3HgW after structural relaxation (PBE-GGA).

energy above the most stable polymorph in this dataset: 1.647 eV per atom
total magnetization: 3.2 μB per formula unit
energy: -18.918 eV/cell

a b c (Å): 4.8979 4.8979 4.8979
angles (deg): 90.00 90.00 90.00
Atoms (fractional coordinates):
Si (0.0000, 0.0000, 0.5000)
Si (0.0000, 0.5000, 0.0000)
Si (0.5000, 0.0000, 0.0000)
Hg (0.0000, 0.0000, 0.0000)
W (0.5000, 0.5000, 0.5000)

***

Record 11
Entry from the Alexandria database: SiHg2W after structural relaxation (PBE-GGA).

total magnetization: 0.0 μB per formula unit
energy: -17.053 eV/cell

a b c (Å): 2.8138 2.8138 11.1503
angles (deg): 90.00 90.00 108.28
Atoms (fractional coordinates):
Si (0.0000, 0.0000, 0.0000)
Hg (0.0000, 0.0000, 0.5947)
Hg (0.5000, 0.5000, 0.2807)
W (0.5000, 0.5000, 0.8224)

***

Record 12
Entry from the Alexandria database: SiHg2W2 after structural relaxation (PBE-GGA).

energy above the most stable polymorph in this dataset: 0.054 eV per atom
total magnetization: 0.0 μB per formula unit
energy: -52.913 eV/cell

a b c (Å): 8.5671 8.5671 2.7704
angles (deg): 90.00 90.00 90.00
Atoms (fractional coordinates):
Si (0.0000, 0.0000, 0.0000)
Si (0.5000, 0.5000, 0.0000)
Hg (0.1901, 0.3099, 0.0000)
Hg (0.3099, 0.8099, 0.0000)
Hg (0.6901, 0.1901, 0.0000)
Hg (0.8099, 0.6901, 0.0000)
W (0.1031, 0.6031, 0.5000)
W (0.3969, 0.1031, 0.5000)
W (0.6031, 0.8969, 0.5000)
W (0.8969, 0.3969, 0.5000)

***

Record 13
Entry from the Alexandria database: Si2HgW2 after structural relaxation (PBE-GGA).

energy above the most stable polymorph in this dataset: 0.000 eV per atom
total magnetization: 0.0 μB per formula unit
energy: -70.602 eV/cell

a b c (Å): 7.6626 7.6626 2.7470
angles (deg): 90.00 90.00 90.00
Atoms (fractional coordinates):
Si (0.1418, 0.3582, 0.0000)
Si (0.3582, 0.8582, 0.0000)
Si (0.6418, 0.1418, 0.0000)
Si (0.8582, 0.6418, 0.0000)
Hg (0.0000, 0.0000, 0.0000)
Hg (0.5000, 0.5000, 0.0000)
W (0.1510, 0.6510, 0.5000)
W (0.3490, 0.1510, 0.5000)
W (0.6510, 0.8490, 0.5000)
W (0.8490, 0.3490, 0.5000)

***

Record 14
Entry from the Alexandria database: SiHg2W after structural relaxation (PBE-GGA).

total magnetization: 0.0 μB per formula unit
energy: -15.528 eV/cell

a b c (Å): 2.9059 4.7769 5.4241
angles (deg): 90.00 90.00 90.00
Atoms (fractional coordinates):
Si (0.0000, 0.0000, 0.0000)
Hg (0.5000, 0.5000, 0.2536)
Hg (0.5000, 0.5000, 0.7464)
W (0.0000, 0.0000, 0.5000)

***

Record 15
Entry from the Alexandria database: SiHgW2 after structural relaxation (PBE-GGA).

energy above the most stable polymorph in this dataset: 0.152 eV per atom
total magnetization: 0.0 μB per formula unit
energy: -29.350 eV/cell

a b c (Å): 5.3027 5.3027 5.3027
angles (deg): 145.51 127.44 64.39
Atoms (fractional coordinates):
Si (0.0000, 0.0000, 0.0000)
Hg (0.5000, 0.5000, 0.0000)
W (0.2230, 0.7230, 0.5000)
W (0.7770, 0.2769, 0.5000)

***

Record 16
Entry from the Alexandria database: SiHgW2 after structural relaxation (PBE-GGA).

energy above the most stable polymorph in this dataset: 0.366 eV per atom
total magnetization: 0.0 μB per formula unit
energy: -28.495 eV/cell

a b c (Å): 4.5041 4.5041 4.5041
angles (deg): 60.00 60.00 60.00
Atoms (fractional coordinates):
Si (0.0000, 0.0000, 0.0000)
Hg (0.5000, 0.5000, 0.5000)
W (0.2500, 0.2500, 0.2500)
W (0.7500, 0.7500, 0.7500)

***

Record 17
Entry from the Alexandria database: YSiHg2 after structural relaxation (PBE-GGA).

total magnetization: 0.0 μB per formula unit
energy: -13.490 eV/cell

a b c (Å): 5.7454 5.7454 5.7454
angles (deg): 136.34 136.34 63.46
Atoms (fractional coordinates):
Y (0.0000, 0.0000, 0.0000)
Si (0.5000, 0.5000, 0.0000)
Hg (0.2500, 0.7500, 0.5000)
Hg (0.7500, 0.2500, 0.5000)

***

Record 18
Entry from the Alexandria database: Y2SiHg2 after structural relaxation (PBE-GGA).

energy above the most stable polymorph in this dataset: 0.000 eV per atom
total magnetization: 0.0 μB per formula unit
energy: -41.055 eV/cell

a b c (Å): 7.2665 7.2665 4.5882
angles (deg): 90.00 90.00 90.00
Atoms (fractional coordinates):
Y (0.1706, 0.3294, 0.0000)
Y (0.3294, 0.8294, 0.0000)
Y (0.6706, 0.1706, 0.0000)
Y (0.8294, 0.6706, 0.0000)
Si (0.0000, 0.0000, 0.5000)
Si (0.5000, 0.5000, 0.5000)
Hg (0.1379, 0.6379, 0.5000)
Hg (0.3621, 0.1379, 0.5000)
Hg (0.6379, 0.8621, 0.5000)
Hg (0.8621, 0.3621, 0.5000)

***

Record 19
Entry from the Alexandria database: YSiHg2 after structural relaxation (PBE-GGA).

total magnetization: 0.0 μB per formula unit
energy: -12.792 eV/cell

a b c (Å): 3.6457 3.6457 6.8900
angles (deg): 90.00 90.00 90.00
Atoms (fractional coordinates):
Y (0.0000, 0.0000, 0.0000)
Si (0.5000, 0.5000, 0.7564)
Hg (0.0000, 0.0000, 0.5326)
Hg (0.5000, 0.5000, 0.2816)

***

Record 20
Entry from the Alexandria database: YSiHg2 after structural relaxation (PBE-GGA).

total magnetization: 0.0 μB per formula unit
energy: -13.209 eV/cell

a b c (Å): 4.2495 5.3744 4.2621
angles (deg): 90.00 90.64 90.00
Atoms (fractional coordinates):
Y (0.0000, 0.0000, 0.0000)
Si (0.5000, 0.0000, 0.5000)
Hg (0.2606, 0.5000, 0.7395)
Hg (0.7394, 0.5000, 0.2605)